(1)
The following is a DFT calculation (PBE-GGA) of a relaxed ZrCoCu crystal.

## Properties
As for the total magnetization: 0.00 μB per atom. The distance to the lowest polymorph of the same formula comes out at 17.81 kcal/mol of atoms. As for the energy: -6.066 eV/atom. As for the formation energy: 0.52 eV per atom.

a b c (Å): 4.246 4.246 4.246
angles (deg): 60.00 60.00 60.00
Atoms (fractional coordinates):
Zr  0.000  0.000  0.000
Co  0.250  0.250  0.250
Cu  0.750  0.750  0.750

(2)
The following is a DFT calculation (PBE-GGA) of a relaxed TeH2RuS crystal.

## Properties
As for the total magnetization: 0.00 μB per atom. As for the energy: -4.114 eV/atom.

a b c (Å): 3.810 3.810 4.676
angles (deg): 90.00 90.00 90.00
Atoms (fractional coordinates):
Te  0.000  0.000  0.000
H  0.000  0.500  0.500
H  0.500  0.000  0.500
Ru  0.500  0.500  0.500
S  0.500  0.500  0.000

(3)
The following is a DFT calculation (PBE-GGA) of a relaxed LaZrP3 crystal.

## Properties
As for the total magnetization: 0.11 μB per atom. The distance to the lowest polymorph of the same formula comes out at 32.63 kcal/mol of atoms. As for the energy: -5.117 eV/atom. As for the formation energy: 0.82 eV per atom.

a b c (Å): 5.165 5.165 5.165
angles (deg): 90.00 90.00 90.00
Atoms (fractional coordinates):
La  0.000  0.000  0.000
Zr  0.500  0.500  0.500
P  0.000  0.000  0.500
P  0.000  0.500  0.000
P  0.500  0.000  0.000

(4)
The following is a DFT calculation (PBE-GGA) of a relaxed TaWAu2 crystal.

## Properties
As for the total magnetization: 0.00 μB per atom. The distance to the lowest polymorph of the same formula comes out at 4.03 kcal/mol of atoms. As for the energy: -7.594 eV/atom. As for the formation energy: 0.25 eV per atom.

a b c (Å): 5.155 5.155 4.726
angles (deg): 100.28 100.28 34.22
Atoms (fractional coordinates):
Ta  0.000  0.000  0.000
W  0.500  0.500  0.500
Au  0.248  0.248  0.748
Au  0.752  0.752  0.252